Record 1
The following is a PBE calculation of an optimized crystal structure of RbFeRuCl2, from Alexandria via LeMat-Bulk.

Calculated values
For the total energy, the calculation gives -0.312 Ry/atom. The density of states at the Fermi level comes out at 1.673 states/eV/atom. The formation energy from raw total energies comes out at 233 meV/atom. The calculation puts the total magnetization at 0.373 μB/atom.

a b c (Å): 5.067 5.067 4.561
angles (deg): 90.00 90.00 90.00
Sites, in units of the cell vectors:
Rb  0.000  0.000  0.000
Fe  0.500  0.500  0.500
Ru  0.500  0.500  0.000
Cl  0.000  0.500  0.500
Cl  0.500  0.000  0.500

---

Record 2
The following is a PBE calculation of an optimized crystal structure of Zn2NiSb, from Alexandria via LeMat-Bulk.

Calculated values
For the total energy, the calculation gives -0.221 Ry/atom. The density of states at the Fermi level comes out at 0.389 states/eV/atom. The formation energy from raw total energies comes out at 102 meV/atom. The calculation puts the total magnetization at 0.000 μB/atom.

a b c (Å): 5.931 5.931 5.931
angles (deg): 150.62 137.81 52.24
Sites, in units of the cell vectors:
Zn  0.208  0.208  0.000
Zn  0.792  0.792  0.000
Ni  0.000  0.500  0.500
Sb  0.500  0.000  0.500

---

Record 3
The following is a PBE calculation of an optimized crystal structure of LaCoTc2Cl, from Alexandria via LeMat-Bulk.

Calculated values
For the total energy, the calculation gives -0.443 Ry/atom. The density of states at the Fermi level comes out at 1.329 states/eV/atom. The formation energy from raw total energies comes out at 893 meV/atom. The calculation puts the total magnetization at 0.324 μB/atom.

a b c (Å): 4.381 4.381 5.246
angles (deg): 90.00 90.00 90.00
Sites, in units of the cell vectors:
La  0.000  0.000  0.000
Co  0.500  0.500  0.000
Tc  0.000  0.500  0.500
Tc  0.500  0.000  0.500
Cl  0.000  0.000  0.500

---

Record 4
The following is a PBE calculation of an optimized crystal structure of NdDyErCd, from Alexandria via LeMat-Bulk.

Calculated values
For the calculated formation energy, the calculation gives -0.03 eV/atom. For the total energy, the calculation gives -0.275 Ry/atom. The density of states at the Fermi level comes out at 1.346 states/eV/atom. The energy above the most stable polymorph in this dataset comes out at 117 meV per atom. The calculation puts the total magnetization at 0.000 μB/atom.

a b c (Å): 5.488 5.488 5.488
angles (deg): 60.00 60.00 60.00
Sites, in units of the cell vectors:
Nd  0.000  0.000  0.000
Dy  0.500  0.500  0.500
Er  0.750  0.750  0.750
Cd  0.250  0.250  0.250

---

Record 5
The following is a PBE calculation of an optimized crystal structure of TcSbCl2, from Alexandria via LeMat-Bulk.

Calculated values
For the total energy, the calculation gives -0.305 Ry/atom. The density of states at the Fermi level comes out at 0.574 states/eV/atom. The formation energy from raw total energies comes out at 389 meV/atom. The energy above the most stable polymorph in this dataset comes out at 613 meV per atom. The calculation puts the total magnetization at 0.851 μB/atom.

a b c (Å): 3.181 4.683 5.642
angles (deg): 90.00 90.00 90.00
Sites, in units of the cell vectors:
Tc  0.000  0.000  0.000
Sb  0.500  0.000  0.500
Cl  0.000  0.500  0.500
Cl  0.500  0.500  0.000

---

Record 6
The following is a PBE calculation of an optimized crystal structure of Pr2CdGa3Au4, from Alexandria via LeMat-Bulk.

Calculated values
For the calculated formation energy, the calculation gives -0.59 eV/atom. For the total energy, the calculation gives -0.284 Ry/atom. The density of states at the Fermi level comes out at 0.572 states/eV/atom. The calculation puts the total magnetization at 0.000 μB/atom.

a b c (Å): 4.484 4.484 10.826
angles (deg): 90.00 90.00 90.00
Sites, in units of the cell vectors:
Pr  0.000  0.500  0.241
Pr  0.500  0.000  0.759
Cd  0.000  0.000  0.500
Ga  0.000  0.500  0.874
Ga  0.500  0.000  0.126
Ga  0.500  0.500  0.500
Au  0.000  0.000  0.000
Au  0.000  0.500  0.644
Au  0.500  0.000  0.356
Au  0.500  0.500  0.000

---

Q: What is the formula in the first record?
A: RbFeRuCl2